# SrMgFe2, optimized geometry, DFT PBE-GGA
# * ΔE_f: 0.787 eV/atom
# * ρ: 4.579 Mg/m³
data_SrMgFe2
_chemical_formula_sum 'Sr2 Mg2 Fe4'
_cell_length_a 7.067
_cell_length_b 7.289
_cell_length_c 3.149
_cell_angle_alpha 90.00
_cell_angle_beta 90.00
_cell_angle_gamma 90.00
_symmetry_space_group_name_H-M 'C m m m'
_symmetry_Int_Tables_number 65
_symmetry_space_group_name_Hall '-C 2 2'
loop_
_atom_site_label
_atom_site_type_symbol
_atom_site_fract_x
_atom_site_fract_y
_atom_site_fract_z
Sr1 Sr 0.000 0.000 0.000
Mg1 Mg 0.000 0.500 0.000
Fe1 Fe 0.250 0.250 0.500